Record 1
The following is a GGA-PBE calculation of crystalline CaAsIBr2 at its relaxed geometry, from the Alexandria database.

Cell: 5.3433 5.3433 9.9695 Å, 90.00 90.00 90.00°
Positions (direct):
I 0.5000 0.5000 0.5000
As 0.0000 0.0000 0.5000
Ca 0.0000 0.0000 0.0000
Br 0.0000 0.5000 0.0000
Br 0.5000 0.0000 0.0000

Output
- symmetry = P4/mmm
- magnetic moment (μB per cell) = 2.0
- N(E_F) (states/eV/cell) = 1.8
- formation energy from raw total energies (eV per atom) = -0.4359
- polymorph energy (0 for the lowest one) (meV per atom) = 0
- energy (Ry/atom) = -0.2018



Record 2
The following is a GGA-PBE calculation of crystalline K2GaSiSe4 at its relaxed geometry, from the Alexandria database.

Cell: 6.1143 7.6647 12.1836 Å, 84.26 75.47 66.49°
Positions (direct):
K 0.1814 0.0000 0.6373
K 0.8186 0.0000 0.3627
K 0.5686 0.5000 0.8627
K 0.9314 0.5000 0.1373
Ga 0.7500 0.5000 0.5000
Ga 0.0000 0.0000 0.0000
Si 0.2500 0.5000 0.5000
Si 0.5000 0.0000 0.0000
Se 0.2945 0.8046 0.1113
Se 0.2104 0.1954 0.8887
Se 0.9009 0.8046 0.8887
Se 0.5942 0.1954 0.1113
Se 0.4555 0.6954 0.3887
Se 0.5396 0.3046 0.6113
Se 0.8491 0.6954 0.6113
Se 0.1558 0.3046 0.3887

Output
- symmetry = Fddd
- magnetic moment (μB per cell) = 0.0
- N(E_F) (states/eV/cell) = 8.2
- formation energy from raw total energies (eV per atom) = -0.7336
- energy (Ry/atom) = -0.2798